1.
VASP calculation (PBE) on crystalline HoSc3Te6 at its relaxed geometry.

The structure in extended XYZ format:
```
20
Lattice="-3.638 -0.159 2.066 3.115 -10.673 4.662 3.843 9.018 7.461" Properties=species:S:1:pos:R:3 pbc="T T T"
Sc 1.849 2.787 9.832
Te -0.569 2.875 5.583
Sc -1.928 -1.044 2.887
Te 2.685 3.700 7.134
Te 3.889 -4.689 8.606
Sc 1.986 1.073 5.701
Te 2.827 7.240 7.657
Te 0.635 -5.514 7.055
Ho 0.107 5.677 6.989
Sc 1.471 -4.601 4.357
Sc 5.248 -0.770 11.302
Ho 3.213 -7.491 7.200
Te 4.596 1.926 10.362
Te -1.276 -3.740 3.827
Sc 1.334 -2.887 8.488
Te 2.656 -1.913 10.892
Te 1.136 0.331 8.388
Te 0.493 -9.054 6.532
Te 0.664 0.099 3.297
Te 2.184 -2.145 5.801
```

ΔE_f (raw): -12.27 eV/f.u.
Symmetry: No. 11
Raw total energy: -54.69 eV per formula unit
Fermi-level density of states: 0.021 states/eV/atom

---

2.
VASP calculation (PBE) on crystalline Ho3ScTe at its relaxed geometry.

The structure in extended XYZ format:
```
10
Lattice="5.625 0.000 0.000 -2.812 5.857 0.563 0.000 0.113 8.945" Properties=species:S:1:pos:R:3 pbc="T T T"
Ho 0.000 4.411 1.736
Te 0.000 2.750 7.985
Ho 2.812 4.277 4.478
Sc 2.812 0.928 3.277
Te 2.812 3.220 1.523
Ho 0.000 0.786 1.488
Ho 2.812 1.559 7.772
Ho 0.000 1.693 5.030
Ho 2.812 5.184 8.020
Sc 0.000 5.042 6.231
```

ΔE_f (raw): -1.66 eV/f.u.
Symmetry: No. 12
Raw total energy: -24.87 eV per formula unit
Fermi-level density of states: 1.192 states/eV/atom

---

3.
VASP calculation (PBE) on crystalline HoSc3Te4 at its relaxed geometry.

The structure in extended XYZ format:
```
8
Lattice="-1.804 -1.160 -3.605 -4.873 -3.978 3.719 -2.594 6.774 -0.882" Properties=species:S:1:pos:R:3 pbc="T T T"
Te -5.195 -1.822 0.745
Te -1.933 0.724 0.734
Te -5.534 2.072 2.102
Te -4.076 3.458 -1.514
Sc -1.297 3.387 -0.441
Sc -4.636 0.818 -0.384
Sc -2.437 -1.989 1.859
Ho -0.902 -0.580 -1.803
```

ΔE_f (raw): -9.05 eV/f.u.
Symmetry: No. 65
Raw total energy: -45.19 eV per formula unit
Fermi-level density of states: 0.722 states/eV/atom

---

4.
VASP calculation (PBE) on crystalline HoScTe at its relaxed geometry.

The structure in extended XYZ format:
```
12
Lattice="-2.407 3.156 -0.043 -1.209 -0.819 7.503 9.744 4.934 -0.049" Properties=species:S:1:pos:R:3 pbc="T T T"
Sc 3.173 2.420 0.030
Ho -1.535 1.401 5.511
Sc 3.938 3.069 4.830
Ho 4.921 6.304 4.043
Sc 2.190 4.202 2.580
Te 0.287 2.728 0.941
Te 5.078 3.901 2.082
Te 1.051 3.370 5.328
Sc 2.955 4.851 7.381
Te 5.841 4.543 6.469
Ho 7.663 5.870 1.899
Ho 1.208 0.967 3.367
```

ΔE_f (raw): -2.35 eV/f.u.
Symmetry: No. 12
Raw total energy: -16.40 eV per formula unit
Fermi-level density of states: 1.013 states/eV/atom
Energy above the lowest structure with this stoichiometry: 71 meV per atom

---

5.
VASP calculation (PBE) on crystalline HoSc5Te6 at its relaxed geometry.

The structure in extended XYZ format:
```
12
Lattice="7.263 0.195 0.000 2.232 6.908 0.000 1.116 3.454 6.297" Properties=species:S:1:pos:R:3 pbc="T T T"
Sc 4.748 3.551 0.000
Sc 5.864 7.005 1.939
Sc 2.232 6.908 4.188
Te 7.119 5.243 0.000
Te 4.650 8.632 4.130
Sc 4.748 3.551 4.358
Sc 1.116 3.454 2.109
Te 3.534 5.178 2.167
Te 7.078 5.378 4.130
Te 5.962 1.924 2.167
Te 2.377 1.860 0.000
Ho 0.000 0.000 0.000
```

ΔE_f (raw): -13.48 eV/f.u.
Symmetry: No. 12
Raw total energy: -68.57 eV per formula unit
Fermi-level density of states: 0.610 states/eV/atom

---

6.
VASP calculation (PBE) on crystalline HoScTe3 at its relaxed geometry.

The structure in extended XYZ format:
```
10
Lattice="4.245 0.000 0.000 0.000 7.095 -1.781 0.000 0.351 10.915" Properties=species:S:1:pos:R:3 pbc="T T T"
Te 1.061 2.027 4.988
Sc 3.183 1.925 -0.375
Te 3.183 6.878 -0.069
Te 3.183 5.419 4.146
Ho 3.183 1.159 6.866
Sc 1.061 5.521 9.509
Te 1.061 3.408 0.937
Te 1.061 0.569 9.203
Ho 1.061 6.288 2.268
Te 3.183 4.039 8.197
```

ΔE_f (raw): -6.41 eV/f.u.
Symmetry: No. 11
Raw total energy: -26.75 eV per formula unit
Energy above the lowest structure with this stoichiometry: 0 meV per atom

---

7.
VASP calculation (PBE) on crystalline HoSc2Tl3Te6 at its relaxed geometry.

The structure in extended XYZ format:
```
12
Lattice="-5.693 2.237 4.310 4.166 -5.864 2.059 5.530 6.196 1.920" Properties=species:S:1:pos:R:3 pbc="T T T"
Te -0.919 1.802 2.320
Te 4.923 0.767 5.968
Ho 0.000 0.000 0.000
Tl 5.329 -1.449 3.385
Te 0.022 -1.362 4.999
Te 3.981 3.931 3.289
Tl -1.325 4.018 4.904
Te 1.531 3.554 6.743
Tl 2.002 1.284 4.144
Sc 0.885 -3.168 2.808
Sc -2.412 -0.459 3.561
Te 2.473 -0.986 1.546
```

ΔE_f (raw): -11.54 eV/f.u.
Symmetry: No. 12
Raw total energy: -54.73 eV per formula unit
Fermi-level density of states: 0.025 states/eV/atom

---

8.
VASP calculation (PBE) on crystalline Ho3ScTl4Te8 at its relaxed geometry.

The structure in extended XYZ format:
```
16
Lattice="-8.054 0.775 3.433 -3.589 -5.219 -7.243 6.466 -3.612 4.733" Properties=species:S:1:pos:R:3 pbc="T T T"
Te -5.428 -4.872 -0.384
Tl 3.233 -1.806 2.366
Te -1.414 -5.191 -2.146
Te -7.088 -1.009 0.636
Te -3.764 -2.865 3.069
Tl -0.794 -1.419 4.083
Ho 1.438 -4.415 -1.255
Te 1.911 -7.047 0.288
Ho -2.589 -4.028 0.462
Tl -4.027 0.387 1.717
Ho -5.822 -2.222 -1.905
Te 0.251 -3.183 1.307
Sc -1.795 -2.609 -3.621
Tl 0.000 0.000 0.000
Te -2.230 -6.649 2.053
Te -2.947 -1.407 -1.130
```

ΔE_f (raw): -16.18 eV/f.u.
Symmetry: No. 166
Raw total energy: -70.85 eV per formula unit

---

- Which value of ΔE_f (raw) does entry 4 give?
  -2.35 eV/f.u.

---

- Among the records above, which one has the lowest raw total energy?
  Ho3ScTl4Te8

---

- What is the raw total energy in the sixth record?
  -26.75 eV per formula unit

---

- Number 1 is which compound?
  HoSc3Te6